[1]
DFT (PBE-GGA) results for a geometry-optimized LaNpGa structure.

Cell lengths 4.8134, 4.8134, 4.8134 Å; angles 60.00, 60.00, 60.00 degrees
Last column: nearest neighbours and their distance in Å.
Fractional coordinates of all 3 atoms:
Ga 0.5000 0.5000 0.5000  4 Np 2.95
Np 0.2500 0.2500 0.2500  4 La 2.95, 4 Ga 2.95
La 0.0000 0.0000 0.0000  4 Np 2.95

Calculated values
SG	F-43m, No. 216
VASP energy	-6.4403	eV/atom



[2]
DFT (PBE-GGA) results for a geometry-optimized Hf2Mo4Au3C3 structure.

Cell lengths 5.4993, 5.4993, 13.9013 Å; angles 101.47, 101.47, 60.13 degrees
Last column: nearest neighbours and their distance in Å.
Fractional coordinates of all 24 atoms:
C 0.5000 0.0000 0.0000  4 Mo 2.09-2.10, 2 Hf 2.33
Hf 0.3721 0.5354 0.6046  3 C 2.28-2.33
Au 0.9846 0.0154 0.2500  4 Mo 2.90, 4 Au 2.90-2.91, 2 Hf 2.97
Au 0.8188 0.5838 0.7506  4 Mo 2.88-2.89, 4 Au 2.90-2.91, 2 Hf 2.95-2.97
Hf 0.4646 0.6279 0.8954  3 C 2.28-2.33
C 0.1759 0.6620 0.0000  4 Mo 2.09-2.16, 2 Hf 2.28
Hf 0.5354 0.3721 0.1046  3 C 2.28-2.33
Mo 0.8028 0.9791 0.9239  3 C 2.09-2.16
Mo 0.3079 0.1455 0.4238  3 C 2.09-2.16
Au 0.4162 0.1812 0.7494  4 Mo 2.88-2.89, 4 Au 2.90-2.91, 2 Hf 2.95-2.97
Mo 0.9791 0.8028 0.4239  3 C 2.09-2.16
Mo 0.1972 0.0209 0.0761  3 C 2.09-2.16
C 0.3380 0.8241 0.5000  4 Mo 2.09-2.16, 2 Hf 2.28
Mo 0.6921 0.8545 0.5762  3 C 2.09-2.16
Au 0.0154 0.9846 0.7500  4 Mo 2.90, 4 Au 2.90-2.91, 2 Hf 2.97
Hf 0.6279 0.4646 0.3954  3 C 2.28-2.33
C 0.0000 0.5000 0.5000  4 Mo 2.09-2.10, 2 Hf 2.33
Au 0.5838 0.8188 0.2506  4 Mo 2.88-2.89, 4 Au 2.90-2.91, 2 Hf 2.95-2.97
Mo 0.0209 0.1972 0.5761  3 C 2.09-2.16
Mo 0.1455 0.3079 0.9238  3 C 2.09-2.16
Mo 0.8545 0.6921 0.0762  3 C 2.09-2.16
C 0.6620 0.1759 0.5000  4 Mo 2.09-2.16, 2 Hf 2.28
Au 0.1812 0.4162 0.2494  4 Mo 2.88-2.89, 4 Au 2.90-2.91, 2 Hf 2.95-2.97
C 0.8241 0.3380 0.0000  4 Mo 2.09-2.16, 2 Hf 2.28

Calculated values
SG	C2/c, No. 15
VASP energy	-8.7112	eV/atom



[3]
DFT (PBE-GGA) results for a geometry-optimized KNaHfTe3 structure.

Cell lengths 9.3467, 4.2892, 10.4988 Å; angles 90.00, 106.58, 90.00 degrees
Last column: nearest neighbours and their distance in Å.
Fractional coordinates of all 12 atoms:
Te 0.4543 0.2500 0.6385  3 Hf 2.96-2.98
Hf 0.3229 0.2500 0.3440  6 Te 2.84-2.98
Te 0.1278 0.7500 0.3926  1 Na 2.91, 2 Hf 2.95
Te 0.7300 0.7500 0.9363  1 Hf 2.84, 3 Na 3.00-3.11
Te 0.8722 0.2500 0.6074  1 Na 2.91, 2 Hf 2.95
Te 0.5457 0.7500 0.3615  3 Hf 2.96-2.98
K 0.7692 0.2500 0.2348  7 Te 3.51-3.93
K 0.2308 0.7500 0.7652  7 Te 3.51-3.93
Na 0.9368 0.2500 0.8954  4 Te 2.91-3.11, 2 Na 3.06
Hf 0.6771 0.7500 0.6560  6 Te 2.84-2.98
Na 0.0632 0.7500 0.1046  4 Te 2.91-3.11, 2 Na 3.06
Te 0.2700 0.2500 0.0637  1 Hf 2.84, 3 Na 3.00-3.11

Calculated values
SG	P2_1/m, No. 11
energy relative to the lowest polymorph listed for this composition	0.50	eV/f.u.



[4]
DFT (PBE-GGA) results for a geometry-optimized CsTe5Pd3 structure.

Cell lengths 6.2443, 6.2443, 7.9467 Å; angles 90.00, 90.00, 120.00 degrees
Last column: nearest neighbours and their distance in Å.
Fractional coordinates of all 9 atoms:
Cs 0.0000 0.0000 0.0000  14 Te 3.97-4.11
Te 0.3333 0.6667 0.7504  3 Pd 2.69
Te 0.6667 0.3333 0.7504  3 Pd 2.69
Te 0.6667 0.3333 0.2495  3 Pd 2.69
Pd 0.0000 0.5000 0.5000  4 Te 2.69
Pd 0.5000 0.5000 0.5000  4 Te 2.69
Pd 0.5000 0.0000 0.5000  4 Te 2.69
Te 0.3333 0.6667 0.2495  3 Pd 2.69
Te 0.0000 0.0000 0.5000  6 Pd 3.12

Calculated values
SG	P6/mmm, No. 191
VASP energy	-3.9141	eV/atom